# 1
Crystalline Sm5Bi2Ru2 at its relaxed geometry, computed with PBE.

Energy of formation in eV per atom: -0.3428
Theoretical density in g/cm³: 8.74
Magnetic moment in Bohr magnetons per cell: 0.00
Density of states at the Fermi level in states/eV/f.u.: 5.86

POSCAR file:
```
Sm5Bi2Ru2
1.0
-8.2445 0.9041 2.3048
1.3744 -3.0733 6.1218
5.2542 8.8176 -0.7396
Sm Bi Ru
10 4 4
direct
0.2550 0.6417 0.9262
0.7450 0.7156 0.0738
0.1712 0.1417 0.9262
0.8288 0.2156 0.0738
0.2501 0.0908 0.2982
0.7499 0.7926 0.7018
0.5481 0.5908 0.2982
0.4519 0.2926 0.7018
0.0479 0.7917 0.5000
0.9521 0.2917 0.5000
0.1487 0.5822 0.2161
0.8513 0.3662 0.7839
0.5673 0.0822 0.2161
0.4327 0.8662 0.7839
0.0000 0.8763 0.0000
0.5000 0.3763 0.0000
0.2312 0.4788 0.5000
0.7688 0.9788 0.5000
```

# 2
Crystalline Sm6BiRu at its relaxed geometry, computed with PBE.

Energy of formation in eV per atom: -0.1221
Theoretical density in g/cm³: 7.04
Magnetic moment in Bohr magnetons per cell: 0.00
Density of states at the Fermi level in states/eV/f.u.: 9.52

POSCAR file:
```
Sm6BiRu
1.0
-4.8098 2.2768 4.4710
1.4634 0.3497 6.7926
1.1579 7.2593 2.9366
Sm Bi Ru
6 1 1
direct
0.0398 0.4163 0.7729
0.7705 0.0399 0.7729
0.5846 0.2287 0.2273
0.2295 0.9601 0.2271
0.9602 0.5837 0.2271
0.4154 0.7713 0.7727
0.5000 0.5000 0.5000
0.0000 0.0000 0.0000
```

# 3
Crystalline Sm12Bi6Ru at its relaxed geometry, computed with PBE.

Energy of formation in eV per atom: -0.4910
Theoretical density in g/cm³: 7.97
Magnetic moment in Bohr magnetons per cell: 0.00
Density of states at the Fermi level in states/eV/f.u.: 14.24

POSCAR file:
```
Sm12Bi6Ru
1.0
-2.7926 -2.7367 -7.9262
-2.3165 -7.0108 4.8575
-6.6336 5.4601 2.0726
Sm Bi Ru
12 6 1
direct
0.8020 0.5831 0.4533
0.4533 0.8020 0.5831
0.5831 0.4533 0.8020
0.1980 0.4169 0.5467
0.5467 0.1980 0.4169
0.4169 0.5467 0.1980
0.0572 0.9953 0.3113
0.0047 0.6887 0.9428
0.6887 0.9428 0.0047
0.9428 0.0047 0.6887
0.9953 0.3113 0.0572
0.3113 0.0572 0.9953
0.6851 0.8806 0.3509
0.6491 0.3149 0.1194
0.1194 0.6491 0.3149
0.3149 0.1194 0.6491
0.3509 0.6851 0.8806
0.8806 0.3509 0.6851
0.0000 0.0000 0.0000
```

# 4
Crystalline Sm4BiRu2 at its relaxed geometry, computed with PBE.

Energy of formation in eV per atom: -0.3223
Theoretical density in g/cm³: 9.04
Magnetic moment in Bohr magnetons per cell: 0.00
Density of states at the Fermi level in states/eV/f.u.: 4.26

POSCAR file:
```
Sm4BiRu2
1.0
7.2606 -0.6394 -0.1528
-1.1798 7.0167 0.1514
-2.9144 -3.3032 7.4055
Sm Bi Ru
8 2 4
direct
0.0178 0.2339 0.4223
0.4348 0.5069 0.2961
0.8845 0.6576 0.6801
0.7146 0.1140 0.6627
0.3824 0.9585 0.2021
0.3002 0.1991 0.8328
0.4563 0.7288 0.8244
0.8448 0.5557 0.0768
0.1924 0.7988 0.4756
0.9681 0.0788 0.0241
0.4863 0.3625 0.6022
0.7933 0.8509 0.4004
0.6397 0.1952 0.0977
0.1348 0.5092 0.9027
```

Question: energy of formation of number 2 (Sm6BiRu)?
Answer: -0.1221 eV per atom

Question: Number 3 is which compound?
Answer: Sm12Bi6Ru

Question: Among the records above, which one has the highest theoretical density?
Answer: Sm4BiRu2